[1]
A plane-wave DFT calculation with SCAN was carried out for a PBEsol-optimized structure of LiZnPt2.

Geometry as extended XYZ:
```
4
Lattice="2.784 -3.469 0.000 2.784 3.469 0.000 0.000 0.000 2.794" Properties=species:S:1:pos:R:3 pbc="T T T"
Li 0.000 0.000 0.000
Zn 2.784 0.000 0.000
Pt 1.392 1.734 1.397
Pt 1.392 -1.734 1.397
```

Calculated values
As for the formation energy: -0.6426 eV/atom. The space group is Cmmm (65).



[2]
A plane-wave DFT calculation with SCAN was carried out for a PBEsol-optimized structure of CsAlS2Cl.

Geometry as extended XYZ:
```
5
Lattice="5.243 0.000 0.000 0.000 5.243 0.000 0.000 0.000 6.179" Properties=species:S:1:pos:R:3 pbc="T T T"
Cs 0.000 0.000 0.000
Al 2.621 2.621 3.090
S 0.000 2.621 0.000
S 2.621 0.000 0.000
Cl 0.000 0.000 3.090
```

Calculated values
For the formation energy (no corrections), the calculation gives 0.725 eV/atom. The space group is P4/mmm (123).



[3]
A plane-wave DFT calculation with SCAN was carried out for a PBEsol-optimized structure of InGeO2.

Geometry as extended XYZ:
```
4
Lattice="0.000 2.930 2.930 2.930 0.000 2.930 2.930 2.930 0.000" Properties=species:S:1:pos:R:3 pbc="T T T"
In 0.000 0.000 0.000
Ge 2.930 2.930 2.930
O 1.465 1.465 1.465
O 4.394 4.394 4.394
```

Calculated values
For the formation energy (no corrections), the calculation gives -0.390 eV/atom. The space group is Fm-3m (225).



[4]
A plane-wave DFT calculation with SCAN was carried out for a PBEsol-optimized structure of LaCoPO2.

Geometry as extended XYZ:
```
5
Lattice="4.089 0.000 0.000 0.000 4.089 0.000 0.000 0.000 6.377" Properties=species:S:1:pos:R:3 pbc="T T T"
La 0.000 0.000 0.000
Co 2.044 2.044 3.188
P 0.000 0.000 3.188
O 0.000 2.044 0.000
O 2.044 0.000 0.000
```

Calculated values
For the formation energy (no corrections), the calculation gives -0.496 eV/atom. The space group is P4/mmm (123).



[5]
A plane-wave DFT calculation with SCAN was carried out for a PBEsol-optimized structure of CdHg2Sb.

Geometry as extended XYZ:
```
4
Lattice="4.273 0.000 0.000 0.000 5.257 0.000 -0.225 0.000 4.331" Properties=species:S:1:pos:R:3 pbc="T T T"
Cd 0.000 0.000 0.000
Hg 0.873 2.628 3.273
Hg 3.176 2.628 1.058
Sb 2.024 0.000 2.166
```

Calculated values
For the formation energy (no corrections), the calculation gives 0.031 eV/atom. The space group is P2/m (10). The value obtained for the offset from the most stable computed form is 16.9 meV per atom.



[6]
A plane-wave DFT calculation with SCAN was carried out for a PBEsol-optimized structure of Li2Co3O6.

Geometry as extended XYZ:
```
22
Lattice="4.176 -2.410 0.000 4.176 2.410 0.000 -2.819 0.000 9.493" Properties=species:S:1:pos:R:3 pbc="T T T"
Li 2.767 2.006 4.746
Li 5.553 0.412 0.000
Li 4.143 -0.412 4.747
Li 4.176 -2.006 0.000
Co -0.024 0.395 7.106
Co 1.386 -0.395 2.359
Co 2.735 0.395 7.032
Co 4.145 -0.395 2.286
Co 5.532 0.417 7.033
Co 6.941 -0.417 2.286
O -0.050 0.419 3.277
O 1.335 1.224 6.077
O -1.460 -0.419 8.023
O 4.205 1.233 1.332
O 2.796 0.418 3.314
O 4.115 1.215 6.078
O 1.386 -0.418 8.060
O 2.745 -1.224 1.331
O 5.549 0.365 3.278
O 2.796 -1.233 6.079
O 4.139 -0.365 8.025
O 5.525 -1.215 1.331
```

Calculated values
For the formation energy (no corrections), the calculation gives -1.678 eV/atom. The space group is Cc (9).



[7]
A plane-wave DFT calculation with SCAN was carried out for a PBEsol-optimized structure of Hf2InC.

Geometry as extended XYZ:
```
8
Lattice="3.287 0.000 0.000 -1.644 2.847 0.000 0.000 0.000 14.699" Properties=species:S:1:pos:R:3 pbc="T T T"
Hf 0.000 1.898 1.210
Hf 0.000 1.898 6.139
Hf 1.644 0.949 8.559
Hf 1.644 0.949 13.489
In 0.000 1.898 11.024
In 1.644 0.949 3.675
C 0.000 0.000 0.000
C 0.000 0.000 7.349
```

Calculated values
As for the formation energy: -0.8116 eV/atom. The space group is P6_3/mmc (194).



[8]
A plane-wave DFT calculation with SCAN was carried out for a PBEsol-optimized structure of SrTc2Ag.

Geometry as extended XYZ:
```
4
Lattice="2.751 -5.048 0.000 2.751 5.048 0.000 -0.821 0.000 2.555" Properties=species:S:1:pos:R:3 pbc="T T T"
Sr 0.000 0.000 0.000
Tc 0.965 2.524 1.277
Tc 0.965 -2.524 1.277
Ag 2.751 0.000 0.000
```

Calculated values
As for the formation energy: 0.8906 eV/atom. The space group is C2/m (12). The value obtained for the offset from the most stable computed form is 543.4 meV per atom.



[9]
A plane-wave DFT calculation with SCAN was carried out for a PBEsol-optimized structure of CdTe2.

Geometry as extended XYZ:
```
6
Lattice="4.218 0.000 0.000 -2.109 3.653 0.000 0.000 0.000 11.161" Properties=species:S:1:pos:R:3 pbc="T T T"
Cd 0.000 0.000 2.790
Cd 0.000 0.000 8.371
Te 0.000 2.435 1.097
Te 0.000 2.435 4.483
Te 2.109 1.218 6.678
Te 2.109 1.218 10.064
```

Calculated values
For the formation energy (no corrections), the calculation gives -0.072 eV/atom. The space group is P6_3/mmc (194).



[10]
A plane-wave DFT calculation with SCAN was carried out for a PBEsol-optimized structure of CrMoRu3.

Geometry as extended XYZ:
```
5
Lattice="4.536 0.000 0.000 0.000 4.536 0.000 0.000 0.000 4.536" Properties=species:S:1:pos:R:3 pbc="T T T"
Cr 0.000 0.000 0.000
Mo 2.268 2.268 2.268
Ru 0.000 2.268 2.268
Ru 2.268 0.000 2.268
Ru 2.268 2.268 0.000
```

Calculated values
As for the formation energy: 1.5705 eV/atom. The space group is Pm-3m (221).



[11]
A plane-wave DFT calculation with SCAN was carried out for a PBEsol-optimized structure of AlTe2PI.

Geometry as extended XYZ:
```
5
Lattice="5.277 0.000 0.000 0.000 5.277 0.000 0.000 0.000 5.136" Properties=species:S:1:pos:R:3 pbc="T T T"
Al 0.000 0.000 0.000
Te 0.000 2.638 0.000
Te 2.638 0.000 0.000
P 2.638 2.638 2.568
I 0.000 0.000 2.568
```

Calculated values
For the formation energy (no corrections), the calculation gives 0.750 eV/atom. The space group is P4/mmm (123).



[12]
A plane-wave DFT calculation with SCAN was carried out for a PBEsol-optimized structure of CuIr2W.

Geometry as extended XYZ:
```
4
Lattice="0.000 3.042 3.042 3.042 0.000 3.042 3.042 3.042 0.000" Properties=species:S:1:pos:R:3 pbc="T T T"
Cu 0.000 0.000 0.000
Ir 1.521 1.521 1.521
Ir 4.563 4.563 4.563
W 3.042 3.042 3.042
```

Calculated values
As for the formation energy: 0.0211 eV/atom. The space group is Fm-3m (225). The value obtained for the offset from the most stable computed form is 44.4 meV per atom.



[13]
A plane-wave DFT calculation with SCAN was carried out for a PBEsol-optimized structure of Tl2SiAu.

Geometry as extended XYZ:
```
4
Lattice="-2.359 2.359 3.899 2.359 -2.359 3.899 2.359 2.359 -3.899" Properties=species:S:1:pos:R:3 pbc="T T T"
Tl 2.359 0.000 1.950
Tl 0.000 2.359 1.950
Si 0.000 0.000 0.000
Au 0.000 0.000 3.899
```

Calculated values
For the formation energy (no corrections), the calculation gives 0.472 eV/atom. The space group is I4/mmm (139). The value obtained for the offset from the most stable computed form is 474.9 meV per atom.



[14]
A plane-wave DFT calculation with SCAN was carried out for a PBEsol-optimized structure of YRu3.

Geometry as extended XYZ:
```
4
Lattice="2.841 0.000 0.000 0.000 4.411 0.000 0.000 0.000 5.100" Properties=species:S:1:pos:R:3 pbc="T T T"
Y 0.000 0.000 0.000
Ru 0.000 2.205 3.242
Ru 1.420 0.000 2.523
Ru 1.420 2.205 1.082
```

Calculated values
As for the formation energy: 0.1996 eV/atom. The space group is Pmm2 (25).



[15]
A plane-wave DFT calculation with SCAN was carried out for a PBEsol-optimized structure of SrPtW2.

Geometry as extended XYZ:
```
4
Lattice="2.943 0.000 0.000 0.000 4.749 0.000 0.000 0.000 5.248" Properties=species:S:1:pos:R:3 pbc="T T T"
Sr 0.000 0.000 0.000
Pt 1.471 2.375 0.000
W 0.000 2.375 2.624
W 1.471 0.000 2.624
```

Calculated values
As for the formation energy: 0.8139 eV/atom. The space group is Pmmm (47).



[16]
A plane-wave DFT calculation with SCAN was carried out for a PBEsol-optimized structure of Te2MoH.

Geometry as extended XYZ:
```
4
Lattice="1.562 0.902 8.504 -1.562 0.902 8.504 0.000 -1.804 8.504" Properties=species:S:1:pos:R:3 pbc="T T T"
Te 0.000 0.000 2.650
Te 0.000 0.000 22.861
Mo 0.000 0.000 0.000
H 0.000 0.000 12.756
```

Calculated values
The space group is R-3m (166). Its uncorrected energy is -1.9932 Ry per atom.



[17]
A plane-wave DFT calculation with SCAN was carried out for a PBEsol-optimized structure of YPb2Se.

Geometry as extended XYZ:
```
4
Lattice="3.694 0.000 0.000 0.000 4.947 0.000 0.000 0.000 5.675" Properties=species:S:1:pos:R:3 pbc="T T T"
Y 0.000 0.000 0.000
Pb 0.000 2.473 2.838
Pb 1.847 0.000 2.838
Se 1.847 2.473 0.000
```

Calculated values
For the formation energy (no corrections), the calculation gives -0.626 eV/atom. The space group is Pmmm (47).



[18]
A plane-wave DFT calculation with SCAN was carried out for a PBEsol-optimized structure of Sc6Al7Ni16.

Geometry as extended XYZ:
```
29
Lattice="0.000 5.784 5.784 5.784 0.000 5.784 5.784 5.784 0.000" Properties=species:S:1:pos:R:3 pbc="T T T"
Sc 5.784 5.784 2.477
Sc 5.784 2.477 5.784
Sc 9.092 5.784 5.784
Sc 2.477 5.784 5.784
Sc 5.784 9.092 5.784
Sc 5.784 5.784 9.092
Al 2.892 2.892 0.000
Al 2.892 0.000 2.892
Al 5.784 2.892 2.892
Al 0.000 2.892 2.892
Al 2.892 5.784 2.892
Al 2.892 2.892 5.784
Al 5.784 5.784 5.784
Ni 7.191 4.377 4.377
Ni 1.980 1.980 1.980
Ni 3.805 3.805 1.980
Ni 3.805 1.980 3.805
Ni 4.377 4.377 4.377
Ni 7.191 7.191 4.377
Ni 7.191 4.377 7.191
Ni 1.980 3.805 3.805
Ni 9.589 7.764 7.764
Ni 4.377 7.191 4.377
Ni 4.377 4.377 7.191
Ni 7.191 7.191 7.191
Ni 7.764 9.589 7.764
Ni 7.764 7.764 9.589
Ni 9.589 9.589 9.589
Ni 4.377 7.191 7.191
```

Calculated values
As for the formation energy: -0.6721 eV/atom. The space group is Fm-3m (225).



[19]
A plane-wave DFT calculation with SCAN was carried out for a PBEsol-optimized structure of La2ThS5.

Geometry as extended XYZ:
```
32
Lattice="11.908 0.000 0.000 0.000 8.287 0.000 0.000 0.000 7.519" Properties=species:S:1:pos:R:3 pbc="T T T"
La 2.097 0.016 0.207
La 2.097 4.128 0.207
La 3.857 4.159 3.966
La 3.857 8.272 3.966
La 8.051 0.016 3.553
La 8.051 4.128 3.553
La 9.810 4.159 7.312
La 9.810 8.272 7.312
Th 0.122 2.072 4.323
Th 5.831 6.215 0.564
Th 6.076 2.072 6.955
Th 11.785 6.215 3.196
S 0.015 2.072 7.205
S 1.141 4.505 5.011
S 1.141 7.926 5.011
S 2.264 2.072 2.505
S 2.597 6.215 2.289
S 3.357 2.072 6.048
S 3.690 6.215 6.264
S 4.813 0.362 1.252
S 4.813 3.782 1.252
S 5.939 6.215 3.446
S 5.968 2.072 4.073
S 7.095 4.505 6.267
S 7.095 7.926 6.267
S 8.218 2.072 1.255
S 8.550 6.215 1.471
S 9.311 2.072 5.230
S 9.643 6.215 5.014
S 10.767 0.362 2.508
S 10.767 3.782 2.508
S 11.893 6.215 0.314
```

Calculated values
For the formation energy (no corrections), the calculation gives -2.444 eV/atom. The space group is Pnma (62).



[20]
A plane-wave DFT calculation with SCAN was carried out for a PBEsol-optimized structure of TaBe3.

Geometry as extended XYZ:
```
8
Lattice="5.135 0.000 0.000 -2.567 4.447 0.000 0.000 0.000 3.610" Properties=species:S:1:pos:R:3 pbc="T T T"
Ta 0.000 2.965 0.902
Ta 2.567 1.482 2.707
Be 0.000 1.262 2.707
Be -1.474 3.816 2.707
Be 1.093 0.631 0.902
Be 1.474 3.816 2.707
Be 4.042 0.631 0.902
Be 2.567 3.185 0.902
```

Calculated values
As for the formation energy: -0.1161 eV/atom. The space group is P6_3/mmc (194).



Number 1: total moment 0.00 μB per cell. Number 2: total moment 0.00 μB per cell. Number 3: total moment 0.00 μB per cell. Number 4: total moment 3.14 μB per cell. Number 5: total moment 0.00 μB per cell. Number 6: total moment 2.08 μB per cell. Number 7: total moment 0.00 μB per cell. Number 8: total moment 0.00 μB per cell. Number 9: total moment 0.00 μB per cell. Number 10: total moment 1.96 μB per cell. Number 11: total moment 0.00 μB per cell. Number 12: total moment 0.00 μB per cell. Number 13: total moment 0.00 μB per cell. Number 14: total moment 0.00 μB per cell. Number 15: total moment 0.00 μB per cell. Number 16: total moment 0.00 μB per cell. Number 17: total moment 0.00 μB per cell. Number 18: total moment 0.00 μB per cell. Number 19: total moment 0.00 μB per cell. Number 20: total moment 0.00 μB per cell.